# 1
Pb3SeO2: optimized geometry, PBE.

```
data_Pb3SeO2
_chemical_formula_sum 'Pb12 Se4 O8'
_cell_length_a 8.493
_cell_length_b 12.209
_cell_length_c 5.977
_cell_angle_alpha 90.00
_cell_angle_beta 90.00
_cell_angle_gamma 90.00
_space_group_name_H-M_alt 'C m c m'
_space_group_IT_number 63
_space_group_name_Hall '-C 2c 2'
loop_
_atom_site_label
_atom_site_type_symbol
_atom_site_fract_x
_atom_site_fract_y
_atom_site_fract_z
_atom_site_occupancy
Pb1 Pb 0.000 0.102 0.250 1
Pb2 Pb 0.220 0.380 0.250 1
Se1 Se 0.000 0.258 0.750 1
O1 O 0.172 0.000 0.000 1
```


# 2
# PBE ScRu3Se, optimized geometry
# Energy relative to the lowest polymorph listed for this composition: 0.0000 eV per atom
data_ScRu3Se
_chemical_formula_sum 'Sc1 Ru3 Se1'
_cell_length_a 4.513
_cell_length_b 4.513
_cell_length_c 4.513
_cell_angle_alpha 90.00
_cell_angle_beta 90.00
_cell_angle_gamma 90.00
_space_group_name_H-M_alt 'P m -3 m'
_space_group_IT_number 221
_space_group_name_Hall '-P 4 2 3'
loop_
_atom_site_label
_atom_site_type_symbol
_atom_site_fract_x
_atom_site_fract_y
_atom_site_fract_z
_atom_site_occupancy
Sc1 Sc 0.000 0.000 0.000 1
Ru1 Ru 0.000 0.500 0.500 1
Se1 Se 0.500 0.500 0.500 1


# 3
# PBE Pr2TlCo, optimized geometry
# Formation enthalpy at 0 K: -0.131 eV/atom
data_Pr2TlCo
_chemical_formula_sum 'Pr2 Tl1 Co1'
_cell_length_a 3.510
_cell_length_b 3.510
_cell_length_c 8.449
_cell_angle_alpha 90.00
_cell_angle_beta 90.00
_cell_angle_gamma 90.00
_space_group_name_H-M_alt 'P 4/m m m'
_space_group_IT_number 123
_space_group_name_Hall '-P 4 2'
loop_
_atom_site_label
_atom_site_type_symbol
_atom_site_fract_x
_atom_site_fract_y
_atom_site_fract_z
_atom_site_occupancy
Pr1 Pr 0.000 0.000 0.204 1
Tl1 Tl 0.500 0.500 0.500 1
Co1 Co 0.500 0.500 0.000 1


Number 1: uncorrected energy -0.365 Ry per atom, mass density 7.851 g/cm³. Number 2: uncorrected energy -0.526 Ry per atom, mass density 7.719 g/cm³. Number 3: uncorrected energy -0.359 Ry per atom, mass density 8.698 g/cm³.